[1]
Ir5C3, relaxed, DFT PBE-GGA; polymorph energy (0 for the lowest one) = 0.000 eV/f.u.; crystal system = monoclinic
1.0
5.6619 0.0000 0.0000
0.0000 6.6805 0.0000
-1.3062 0.0000 5.7655
Ir C
10 6
direct
0.0270 0.2500 0.1874 Ir
0.2026 0.2500 0.7856 Ir
0.3351 0.5432 0.1402 Ir
0.3351 0.9568 0.1402 Ir
0.4173 0.7500 0.5761 Ir
0.5827 0.2500 0.4239 Ir
0.6649 0.0432 0.8598 Ir
0.6649 0.4568 0.8598 Ir
0.7974 0.7500 0.2144 Ir
0.9730 0.7500 0.8126 Ir
0.1508 0.7500 0.2862 C
0.2491 0.2500 0.4790 C
0.3366 0.7500 0.8863 C
0.6634 0.2500 0.1137 C
0.7509 0.7500 0.5210 C
0.8492 0.2500 0.7138 C

---

[2]
Ir3C, relaxed, DFT PBE-GGA; polymorph energy (0 for the lowest one) = 0.475 eV/f.u.; crystal system = trigonal
1.0
1.3840 0.7990 7.5444
-1.3840 0.7990 7.5444
0.0000 -1.5981 7.5444
Ir C
3 1
direct
0.0000 0.0000 0.0000 Ir
0.2316 0.2316 0.2316 Ir
0.7684 0.7684 0.7684 Ir
0.5000 0.5000 0.5000 C

---

[3]
IrC7, relaxed, DFT PBE-GGA; VASP energy = -5.339 eV per atom; crystal system = cubic
1.0
0.0000 3.2173 3.2173
3.2173 0.0000 3.2173
3.2173 3.2173 0.0000
Ir C
1 7
direct
0.0000 0.0000 0.0000 Ir
0.0000 0.0000 0.5000 C
0.0000 0.5000 0.0000 C
0.0000 0.5000 0.5000 C
0.5000 0.0000 0.0000 C
0.5000 0.0000 0.5000 C
0.5000 0.5000 0.0000 C
0.5000 0.5000 0.5000 C

---

[4]
Ir5C3, relaxed, DFT PBE-GGA; polymorph energy (0 for the lowest one) = 3.486 eV/f.u.; crystal system = tetragonal
1.0
2.7249 0.0000 0.0000
0.0000 2.7249 0.0000
0.0000 0.0000 12.2556
Ir C
5 3
direct
0.0000 0.0000 0.0000 Ir
0.0000 0.0000 0.2160 Ir
0.0000 0.0000 0.7840 Ir
0.5000 0.5000 0.3926 Ir
0.5000 0.5000 0.6074 Ir
0.0000 0.0000 0.5000 C
0.5000 0.5000 0.1249 C
0.5000 0.5000 0.8751 C

---

[5]
Ir3C4, relaxed, DFT PBE-GGA; polymorph energy (0 for the lowest one) = 0.000 eV/f.u.; crystal system = cubic
1.0
4.6091 0.0000 0.0000
0.0000 4.6091 0.0000
0.0000 0.0000 4.6091
Ir C
3 4
direct
0.0000 0.0000 0.5000 Ir
0.0000 0.5000 0.0000 Ir
0.5000 0.0000 0.0000 Ir
0.2360 0.2360 0.2360 C
0.2360 0.7640 0.7640 C
0.7640 0.2360 0.7640 C
0.7640 0.7640 0.2360 C

---

[6]
IrC5, relaxed, DFT PBE-GGA; polymorph energy (0 for the lowest one) = 11.696 eV/f.u.; crystal system = hexagonal
1.0
3.4362 0.0000 0.0000
-1.7181 2.9759 0.0000
0.0000 0.0000 8.3851
Ir C
1 5
direct
0.0000 0.0000 0.0000 Ir
0.0000 0.5000 0.5000 C
0.3333 0.6667 0.0000 C
0.5000 0.0000 0.5000 C
0.5000 0.5000 0.5000 C
0.6667 0.3333 0.0000 C

---

[7]
Ir3C, relaxed, DFT PBE-GGA; polymorph energy (0 for the lowest one) = 0.000 eV/f.u.; crystal system = orthorhombic
1.0
5.6241 0.0000 0.0000
0.0000 7.6162 0.0000
0.0000 0.0000 4.8666
Ir C
12 4
direct
0.0983 0.2500 0.2194 Ir
0.1557 0.0681 0.7178 Ir
0.1557 0.4319 0.7178 Ir
0.3443 0.5681 0.2178 Ir
0.3443 0.9319 0.2178 Ir
0.4017 0.7500 0.7194 Ir
0.5983 0.2500 0.2806 Ir
0.6557 0.0681 0.7822 Ir
0.6557 0.4319 0.7822 Ir
0.8443 0.5681 0.2822 Ir
0.8443 0.9319 0.2822 Ir
0.9017 0.7500 0.7806 Ir
0.0875 0.7500 0.1234 C
0.4125 0.2500 0.6234 C
0.5875 0.7500 0.3766 C
0.9125 0.2500 0.8766 C

---

[8]
Ir3C, relaxed, DFT PBE-GGA; polymorph energy (0 for the lowest one) = 0.875 eV/f.u.; crystal system = orthorhombic
1.0
-1.3845 2.2928 4.0149
1.3845 -2.2928 4.0149
1.3845 2.2928 -4.0149
Ir C
3 1
direct
0.0000 0.0000 0.0000 Ir
0.3082 0.8082 0.5000 Ir
0.6918 0.1918 0.5000 Ir
0.5000 0.5000 0.0000 C

---

[9]
IrC5, relaxed, DFT PBE-GGA; polymorph energy (0 for the lowest one) = 15.183 eV/f.u.; crystal system = cubic
1.0
0.0000 2.9645 2.9645
2.9645 0.0000 2.9645
2.9645 2.9645 0.0000
Ir C
1 5
direct
0.0000 0.0000 0.0000 Ir
0.4068 0.4068 0.4068 C
0.4068 0.4068 0.7797 C
0.4068 0.7797 0.4068 C
0.7500 0.7500 0.7500 C
0.7797 0.4068 0.4068 C

---

[10]
Ir3C, relaxed, DFT PBE-GGA; polymorph energy (0 for the lowest one) = 0.680 eV/f.u.; crystal system = hexagonal
1.0
6.8761 0.0000 0.0000
-3.4380 5.9549 0.0000
0.0000 0.0000 2.7086
Ir C
6 2
direct
0.1954 0.3908 0.2500 Ir
0.1954 0.8046 0.2500 Ir
0.3908 0.1954 0.7500 Ir
0.6092 0.8046 0.2500 Ir
0.8046 0.1954 0.7500 Ir
0.8046 0.6092 0.7500 Ir
0.3333 0.6667 0.7500 C
0.6667 0.3333 0.2500 C

---

[11]
Ir3C, relaxed, DFT PBE-GGA; polymorph energy (0 for the lowest one) = 1.939 eV/f.u.; crystal system = hexagonal
1.0
7.0268 0.0000 0.0000
-3.5134 6.0854 0.0000
0.0000 0.0000 5.2261
Ir C
12 4
direct
0.0000 0.5000 0.0000 Ir
0.0000 0.5000 0.5000 Ir
0.1343 0.2685 0.2500 Ir
0.1343 0.8657 0.2500 Ir
0.2685 0.1343 0.7500 Ir
0.5000 0.0000 0.0000 Ir
0.5000 0.0000 0.5000 Ir
0.5000 0.5000 0.0000 Ir
0.5000 0.5000 0.5000 Ir
0.7315 0.8657 0.2500 Ir
0.8657 0.1343 0.7500 Ir
0.8657 0.7315 0.7500 Ir
0.0000 0.0000 0.0000 C
0.0000 0.0000 0.5000 C
0.3333 0.6667 0.7500 C
0.6667 0.3333 0.2500 C

---

[12]
Ir2C3, relaxed, DFT PBE-GGA; polymorph energy (0 for the lowest one) = 0.000 eV/f.u.; crystal system = orthorhombic
1.0
0.0000 6.8943 1.5000
5.1085 0.0000 1.5000
5.1085 6.8943 0.0000
Ir C
4 6
direct
0.3277 0.6723 0.3638 Ir
0.6138 0.8862 0.5777 Ir
0.6723 0.3277 0.6362 Ir
0.8862 0.6138 0.9223 Ir
0.1309 0.3402 0.9214 C
0.3286 0.6425 0.1191 C
0.3317 0.3317 0.6683 C
0.3402 0.1309 0.6075 C
0.5817 0.5817 0.9183 C
0.6425 0.3286 0.9098 C

---

[13]
Ir3C, relaxed, DFT PBE-GGA; polymorph energy (0 for the lowest one) = 4.686 eV/f.u.; crystal system = trigonal
1.0
4.1078 2.3716 0.9405
-4.1078 2.3716 0.9405
0.0000 -4.7433 0.9405
Ir C
3 1
direct
0.0000 0.5000 0.5000 Ir
0.5000 0.0000 0.5000 Ir
0.5000 0.5000 0.0000 Ir
0.0000 0.0000 0.0000 C

---

[14]
Ir3C5, relaxed, DFT PBE-GGA; polymorph energy (0 for the lowest one) = 0.000 eV/f.u.; crystal system = monoclinic
1.0
3.0143 -5.1014 0.0000
3.0143 5.1014 0.0000
-2.1963 0.0000 6.4300
Ir C
6 10
direct
0.0000 0.0000 0.0000 Ir
0.1939 0.1939 0.4098 Ir
0.4692 0.7439 0.2153 Ir
0.4790 0.8715 0.8185 Ir
0.7439 0.4692 0.2153 Ir
0.8715 0.4790 0.8185 Ir
0.2349 0.8225 0.0003 C
0.3561 0.3561 0.1902 C
0.3614 0.4883 0.7031 C
0.3639 0.9668 0.4021 C
0.4820 0.8803 0.5229 C
0.4883 0.3614 0.7031 C
0.8225 0.2349 0.0003 C
0.8457 0.8457 0.2161 C
0.8803 0.4820 0.5229 C
0.9668 0.3639 0.4021 C

---

[15]
Ir4C, relaxed, DFT PBE-GGA; polymorph energy (0 for the lowest one) = 2.062 eV/f.u.; crystal system = cubic
1.0
-2.6158 2.6158 2.6158
2.6158 -2.6158 2.6158
2.6158 2.6158 -2.6158
Ir C
4 1
direct
0.0000 0.0000 0.5000 Ir
0.0000 0.5000 0.0000 Ir
0.5000 0.0000 0.0000 Ir
0.5000 0.5000 0.5000 Ir
0.0000 0.0000 0.0000 C

---

[16]
Ir3C, relaxed, DFT PBE-GGA; polymorph energy (0 for the lowest one) = 0.280 eV/f.u.; crystal system = orthorhombic
1.0
-1.3981 2.0879 4.7283
1.3981 -2.0879 4.7283
1.3981 2.0879 -4.7283
Ir C
3 1
direct
0.0000 0.0000 0.0000 Ir
0.3005 0.8005 0.5000 Ir
0.6995 0.1995 0.5000 Ir
0.5000 0.0000 0.5000 C

---

[17]
IrC5, relaxed, DFT PBE-GGA; polymorph energy (0 for the lowest one) = 6.787 eV/f.u.; crystal system = orthorhombic
1.0
4.1823 0.0000 0.0000
0.0000 2.6275 2.7785
0.0000 -2.6275 2.7785
Ir C
1 5
direct
0.0000 0.0000 0.0000 Ir
0.0000 0.3425 0.3425 C
0.0000 0.5851 0.5851 C
0.5000 0.4756 0.4756 C
0.5000 0.7113 0.7113 C
0.5000 0.9507 0.9507 C

---

[18]
Ir4C, relaxed, DFT PBE-GGA; polymorph energy (0 for the lowest one) = 0.000 eV/f.u.; crystal system = tetragonal
1.0
-3.0785 3.0785 1.9621
3.0785 -3.0785 1.9621
3.0785 3.0785 -1.9621
Ir C
4 1
direct
0.0957 0.3064 0.4021 Ir
0.3064 0.9043 0.2106 Ir
0.6936 0.0957 0.7894 Ir
0.9043 0.6936 0.5979 Ir
0.0000 0.0000 0.0000 C

---

[19]
Ir3C4, relaxed, DFT PBE-GGA; polymorph energy (0 for the lowest one) = 2.966 eV/f.u.; crystal system = tetragonal
1.0
-1.5822 1.5822 7.2165
1.5822 -1.5822 7.2165
1.5822 1.5822 -7.2165
Ir C
3 4
direct
0.0000 0.0000 0.0000 Ir
0.3118 0.3118 0.0000 Ir
0.6882 0.6882 0.0000 Ir
0.1632 0.1632 0.0000 C
0.4538 0.4538 0.0000 C
0.5462 0.5462 0.0000 C
0.8368 0.8368 0.0000 C

---

[20]
Ir3C, relaxed, DFT PBE-GGA; polymorph energy (0 for the lowest one) = 1.524 eV/f.u.; crystal system = cubic
1.0
4.0115 0.0000 0.0000
0.0000 4.0115 0.0000
0.0000 0.0000 4.0115
Ir C
3 1
direct
0.0000 0.0000 0.5000 Ir
0.0000 0.5000 0.0000 Ir
0.5000 0.0000 0.0000 Ir
0.0000 0.0000 0.0000 C